DFT (PBEsol) results for SnAs2PbBr after structural relaxation.

Results
excess energy over the best structure of this formula in the dataset = 0.0 meV per atom
uncorrected formation energy = 1.97 eV per formula unit
electronic total energy = -18.37 eV per cell
M_tot = 0.00 μB per cell

Unit cell a=5.2031 b=5.2031 c=5.3819 alpha=90.00 beta=90.00 gamma=90.00
Space group P4/mmm (No. 123)
One atom of each set of equivalent atoms:
Sn 0.0000 0.0000 0.0000 (multiplicity 1)
As 0.0000 0.5000 0.0000 (multiplicity 2)
Pb 0.5000 0.5000 0.5000 (multiplicity 1)
Br 0.0000 0.0000 0.5000 (multiplicity 1)

=====

DFT (PBEsol) results for TiAsPbBr2 after structural relaxation.

Results
uncorrected formation energy = 3.12 eV per formula unit
electronic total energy = -18.05 eV per cell
M_tot = 1.81 μB per cell

Unit cell a=5.5260 b=5.5260 c=5.4847 alpha=90.00 beta=90.00 gamma=90.00
Space group P4/mmm (No. 123)
One atom of each set of equivalent atoms:
Ti 0.0000 0.0000 0.0000 (multiplicity 1)
As 0.5000 0.5000 0.0000 (multiplicity 1)
Pb 0.5000 0.5000 0.5000 (multiplicity 1)
Br 0.0000 0.5000 0.5000 (multiplicity 2)

=====

DFT (PBEsol) results for As2PbWBr after structural relaxation.

Results
uncorrected formation energy = 9.47 eV per formula unit
electronic total energy = -20.42 eV per cell
M_tot = 3.20 μB per cell

Unit cell a=5.2780 b=5.2780 c=5.3208 alpha=90.00 beta=90.00 gamma=90.00
Space group P4/mmm (No. 123)
One atom of each set of equivalent atoms:
As 0.0000 0.5000 0.0000 (multiplicity 2)
Pb 0.0000 0.0000 0.0000 (multiplicity 1)
W 0.5000 0.5000 0.5000 (multiplicity 1)
Br 0.0000 0.0000 0.5000 (multiplicity 1)

=====

DFT (PBEsol) results for ReAsPdBr2 after structural relaxation.

Results
uncorrected formation energy = 6.59 eV per formula unit
electronic total energy = -21.55 eV per cell
M_tot = 4.22 μB per cell

Unit cell a=4.8928 b=4.8928 c=5.0208 alpha=90.00 beta=90.00 gamma=90.00
Space group P4/mmm (No. 123)
One atom of each set of equivalent atoms:
Re 0.0000 0.0000 0.0000 (multiplicity 1)
As 0.5000 0.5000 0.0000 (multiplicity 1)
Pd 0.5000 0.5000 0.5000 (multiplicity 1)
Br 0.0000 0.5000 0.5000 (multiplicity 2)

=====

DFT (PBEsol) results for AsPdRuBr2 after structural relaxation.

Results
uncorrected formation energy = 3.40 eV per formula unit
electronic total energy = -21.57 eV per cell
M_tot = 0.00 μB per cell

Unit cell a=5.0323 b=5.0323 c=4.5530 alpha=90.00 beta=90.00 gamma=90.00
Space group P4/mmm (No. 123)
One atom of each set of equivalent atoms:
As 0.0000 0.0000 0.0000 (multiplicity 1)
Pd 0.5000 0.5000 0.0000 (multiplicity 1)
Ru 0.0000 0.0000 0.5000 (multiplicity 1)
Br 0.0000 0.5000 0.5000 (multiplicity 2)

=====

DFT (PBEsol) results for As2PdSBr after structural relaxation.

Results
uncorrected formation energy = 3.35 eV per formula unit
electronic total energy = -19.07 eV per cell
M_tot = 0.00 μB per cell

Unit cell a=4.8319 b=4.8319 c=4.8487 alpha=90.00 beta=90.00 gamma=90.00
Space group P4/mmm (No. 123)
One atom of each set of equivalent atoms:
As 0.0000 0.5000 0.0000 (multiplicity 2)
Pd 0.0000 0.0000 0.0000 (multiplicity 1)
S 0.5000 0.5000 0.5000 (multiplicity 1)
Br 0.0000 0.0000 0.5000 (multiplicity 1)

=====

DFT (PBEsol) results for SbAsPdBr2 after structural relaxation.

Results
uncorrected formation energy = 3.83 eV per formula unit
electronic total energy = -15.54 eV per cell
M_tot = 1.31 μB per cell

Unit cell a=5.3702 b=5.3702 c=5.3689 alpha=90.00 beta=90.00 gamma=90.00
Space group P4/mmm (No. 123)
One atom of each set of equivalent atoms:
Sb 0.0000 0.0000 0.0000 (multiplicity 1)
As 0.0000 0.0000 0.5000 (multiplicity 1)
Pd 0.5000 0.5000 0.5000 (multiplicity 1)
Br 0.0000 0.5000 0.0000 (multiplicity 2)

=====

DFT (PBEsol) results for SnAs2PdBr after structural relaxation.

Results
uncorrected formation energy = 1.57 eV per formula unit
electronic total energy = -20.73 eV per cell
M_tot = 0.28 μB per cell

Unit cell a=4.8198 b=4.8198 c=5.1440 alpha=90.00 beta=90.00 gamma=90.00
Space group P4/mmm (No. 123)
One atom of each set of equivalent atoms:
Sn 0.0000 0.0000 0.0000 (multiplicity 1)
As 0.0000 0.5000 0.5000 (multiplicity 2)
Pd 0.5000 0.5000 0.5000 (multiplicity 1)
Br 0.5000 0.5000 0.0000 (multiplicity 1)

=====

DFT (PBEsol) results for TaAsPdBr2 after structural relaxation.

Results
uncorrected formation energy = 4.94 eV per formula unit
electronic total energy = -22.42 eV per cell
M_tot = 2.10 μB per cell

Unit cell a=4.8182 b=4.8182 c=4.9686 alpha=90.00 beta=90.00 gamma=90.00
Space group P4/mmm (No. 123)
One atom of each set of equivalent atoms:
Ta 0.0000 0.0000 0.0000 (multiplicity 1)
As 0.5000 0.5000 0.0000 (multiplicity 1)
Pd 0.5000 0.5000 0.5000 (multiplicity 1)
Br 0.0000 0.5000 0.5000 (multiplicity 2)

=====

DFT (PBEsol) results for TeAs2PdBr after structural relaxation.

Results
uncorrected formation energy = 5.93 eV per formula unit
electronic total energy = -15.64 eV per cell
M_tot = 1.03 μB per cell

Unit cell a=5.2630 b=5.2630 c=5.3517 alpha=90.00 beta=90.00 gamma=90.00
Space group P4/mmm (No. 123)
One atom of each set of equivalent atoms:
Te 0.0000 0.0000 0.0000 (multiplicity 1)
As 0.0000 0.5000 0.0000 (multiplicity 2)
Pd 0.5000 0.5000 0.5000 (multiplicity 1)
Br 0.0000 0.0000 0.5000 (multiplicity 1)

=====

DFT (PBEsol) results for TiAsPdBr2 after structural relaxation.

Results
uncorrected formation energy = 0.69 eV per formula unit
electronic total energy = -22.44 eV per cell
M_tot = 0.00 μB per cell

Unit cell a=4.8638 b=4.8638 c=4.9754 alpha=90.00 beta=90.00 gamma=90.00
Space group P4/mmm (No. 123)
One atom of each set of equivalent atoms:
Ti 0.0000 0.0000 0.0000 (multiplicity 1)
As 0.0000 0.0000 0.5000 (multiplicity 1)
Pd 0.5000 0.5000 0.5000 (multiplicity 1)
Br 0.0000 0.5000 0.0000 (multiplicity 2)

=====

DFT (PBEsol) results for YAs2PdBr after structural relaxation.

Results
uncorrected formation energy = 2.40 eV per formula unit
electronic total energy = -22.46 eV per cell
M_tot = 0.00 μB per cell

Unit cell a=5.3745 b=5.3745 c=5.2648 alpha=90.00 beta=90.00 gamma=90.00
Space group P4/mmm (No. 123)
One atom of each set of equivalent atoms:
Y 0.0000 0.0000 0.0000 (multiplicity 1)
As 0.0000 0.5000 0.0000 (multiplicity 2)
Pd 0.5000 0.5000 0.5000 (multiplicity 1)
Br 0.0000 0.0000 0.5000 (multiplicity 1)

=====

DFT (PBEsol) results for Pr3AsBr3 after structural relaxation.

Results
uncorrected formation energy = -11.38 eV per formula unit
electronic total energy = -301.19 eV per cell
M_tot = 0.00 μB per cell

Unit cell a=11.8686 b=11.8686 c=11.8686 alpha=90.00 beta=90.00 gamma=90.00
Space group I4_132 (No. 214)
One atom of each set of equivalent atoms:
Pr 0.1156 0.3656 0.1250 (multiplicity 24)
As 0.1250 0.1250 0.1250 (multiplicity 8)
Br 0.1184 0.1316 0.6250 (multiplicity 24)

=====

DFT (PBEsol) results for AsPtBr2 after structural relaxation.

Results
excess energy over the best structure of this formula in the dataset = 0.0 meV per atom
uncorrected formation energy = 1.98 eV per formula unit
electronic total energy = -13.83 eV per cell
M_tot = 0.00 μB per cell

Unit cell a=3.1293 b=4.4225 c=5.7780 alpha=90.00 beta=90.00 gamma=90.00
Space group Pmmm (No. 47)
One atom of each set of equivalent atoms:
As 0.0000 0.0000 0.0000 (multiplicity 1)
Pt 0.5000 0.0000 0.5000 (multiplicity 1)
Br 0.0000 0.5000 0.5000 (multiplicity 1)
Br 0.5000 0.5000 0.0000 (multiplicity 1)

=====

DFT (PBEsol) results for As2PtBr after structural relaxation.

Results
excess energy over the best structure of this formula in the dataset = 0.0 meV per atom
uncorrected formation energy = -0.74 eV per formula unit
electronic total energy = -59.36 eV per cell
M_tot = 0.00 μB per cell

Unit cell a=3.8198 b=3.8198 c=20.1391 alpha=90.00 beta=90.00 gamma=120.00
Space group R-3m (No. 166, hexagonal axes)
One atom of each set of equivalent atoms:
As 0.0000 0.0000 0.2254 (multiplicity 6)
Pt 0.0000 0.0000 0.5000 (multiplicity 3)
Br 0.0000 0.0000 0.0000 (multiplicity 3)

=====

DFT (PBEsol) results for As4PtBr after structural relaxation.

Results
uncorrected formation energy = 4.01 eV per formula unit
electronic total energy = -101.01 eV per cell
M_tot = 0.00 μB per cell

Unit cell a=7.7989 b=7.7989 c=7.7989 alpha=90.00 beta=90.00 gamma=90.00
Space group F-43m (No. 216)
One atom of each set of equivalent atoms:
As 0.1172 0.1172 0.3828 (multiplicity 16)
Pt 0.0000 0.0000 0.0000 (multiplicity 4)
Br 0.2500 0.2500 0.7500 (multiplicity 4)

=====

DFT (PBEsol) results for AsPtBr2 after structural relaxation.

Results
excess energy over the best structure of this formula in the dataset = 196.9 meV per atom
uncorrected formation energy = 2.77 eV per formula unit
electronic total energy = -13.04 eV per cell
M_tot = 0.00 μB per cell

Unit cell a=3.3472 b=3.3472 c=6.8836 alpha=90.00 beta=90.00 gamma=90.00
Space group P4/mmm (No. 123)
One atom of each set of equivalent atoms:
As 0.0000 0.0000 0.0000 (multiplicity 1)
Pt 0.0000 0.0000 0.5000 (multiplicity 1)
Br 0.5000 0.5000 0.2574 (multiplicity 2)

=====

DFT (PBEsol) results for As2PtBr after structural relaxation.

Results
excess energy over the best structure of this formula in the dataset = 224.6 meV per atom
uncorrected formation energy = 0.16 eV per formula unit
electronic total energy = -18.89 eV per cell
M_tot = 0.00 μB per cell

Unit cell a=2.9715 b=2.9715 c=9.5341 alpha=90.00 beta=90.00 gamma=90.00
Space group P4/mmm (No. 123)
One atom of each set of equivalent atoms:
As 0.0000 0.0000 0.1746 (multiplicity 2)
Pt 0.5000 0.5000 0.0000 (multiplicity 1)
Br 0.5000 0.5000 0.5000 (multiplicity 1)

=====

DFT (PBEsol) results for As2PtBr after structural relaxation.

Results
excess energy over the best structure of this formula in the dataset = 450.7 meV per atom
uncorrected formation energy = 1.06 eV per formula unit
electronic total energy = -35.96 eV per cell
M_tot = 0.00 μB per cell

Unit cell a=3.0066 b=4.8178 c=10.6600 alpha=90.00 beta=90.00 gamma=90.00
Space group Immm (No. 71)
One atom of each set of equivalent atoms:
As 0.0000 0.0000 0.2000 (multiplicity 4)
Pt 0.0000 0.5000 0.5000 (multiplicity 2)
Br 0.0000 0.5000 0.0000 (multiplicity 2)

=====

DFT (PBEsol) results for AsPtBr2 after structural relaxation.

Results
excess energy over the best structure of this formula in the dataset = 39.3 meV per atom
uncorrected formation energy = 2.14 eV per formula unit
electronic total energy = -54.68 eV per cell
M_tot = 0.00 μB per cell

Unit cell a=4.5688 b=4.5688 c=16.9696 alpha=90.00 beta=90.00 gamma=90.00
Space group I-42d (No. 122)
One atom of each set of equivalent atoms:
As 0.0000 0.0000 0.0000 (multiplicity 4)
Pt 0.0000 0.0000 0.5000 (multiplicity 4)
Br 0.2377 0.2500 0.6250 (multiplicity 8)

=====

DFT (PBEsol) results for AsPtRhBr2 after structural relaxation.

Results
uncorrected formation energy = 4.13 eV per formula unit
electronic total energy = -19.82 eV per cell
M_tot = 0.00 μB per cell

Unit cell a=4.9499 b=4.9499 c=4.5760 alpha=90.00 beta=90.00 gamma=90.00
Space group P4/mmm (No. 123)
One atom of each set of equivalent atoms:
As 0.0000 0.0000 0.0000 (multiplicity 1)
Pt 0.5000 0.5000 0.0000 (multiplicity 1)
Rh 0.0000 0.0000 0.5000 (multiplicity 1)
Br 0.0000 0.5000 0.5000 (multiplicity 2)

=====

DFT (PBEsol) results for Rb3AsBr6 after structural relaxation.

Results
uncorrected formation energy = -11.69 eV per formula unit
electronic total energy = -124.37 eV per cell
M_tot = 0.00 μB per cell

Unit cell a=11.5389 b=11.5389 c=11.5389 alpha=90.00 beta=90.00 gamma=90.00
Space group Fm-3m (No. 225)
One atom of each set of equivalent atoms:
Rb 0.0000 0.0000 0.0000 (multiplicity 4)
Rb 0.2500 0.2500 0.2500 (multiplicity 8)
As 0.0000 0.0000 0.5000 (multiplicity 4)
Br 0.0000 0.0000 0.2729 (multiplicity 24)

=====

DFT (PBEsol) results for Rb3AsBr after structural relaxation.

Results
uncorrected formation energy = -2.59 eV per formula unit
electronic total energy = -12.64 eV per cell
M_tot = 1.01 μB per cell

Unit cell a=6.2498 b=6.2498 c=6.2498 alpha=90.00 beta=90.00 gamma=90.00
Space group Pm-3m (No. 221)
One atom of each set of equivalent atoms:
Rb 0.0000 0.0000 0.5000 (multiplicity 3)
As 0.5000 0.5000 0.5000 (multiplicity 1)
Br 0.0000 0.0000 0.0000 (multiplicity 1)

=====

DFT (PBEsol) results for RbSiAsBr2 after structural relaxation.

Results
uncorrected formation energy = 4.83 eV per formula unit
electronic total energy = -10.79 eV per cell
M_tot = 1.98 μB per cell

Unit cell a=6.0498 b=6.0498 c=6.1344 alpha=90.00 beta=90.00 gamma=90.00
Space group P4/mmm (No. 123)
One atom of each set of equivalent atoms:
Rb 0.0000 0.0000 0.0000 (multiplicity 1)
Si 0.5000 0.5000 0.5000 (multiplicity 1)
As 0.0000 0.0000 0.5000 (multiplicity 1)
Br 0.0000 0.5000 0.0000 (multiplicity 2)

=====

DFT (PBEsol) results for RbTeAs2Br after structural relaxation.

Results
uncorrected formation energy = 6.68 eV per formula unit
electronic total energy = -9.96 eV per cell
M_tot = 8.07 μB per cell

Unit cell a=6.7995 b=6.7995 c=6.2738 alpha=90.00 beta=90.00 gamma=90.00
Space group P4/mmm (No. 123)
One atom of each set of equivalent atoms:
Rb 0.0000 0.0000 0.0000 (multiplicity 1)
Te 0.5000 0.5000 0.5000 (multiplicity 1)
As 0.0000 0.5000 0.0000 (multiplicity 2)
Br 0.0000 0.0000 0.5000 (multiplicity 1)

=====

DFT (PBEsol) results for RbZrAs2Br after structural relaxation.

Results
uncorrected formation energy = 6.50 eV per formula unit
electronic total energy = -15.70 eV per cell
M_tot = 0.76 μB per cell

Unit cell a=5.2834 b=5.2834 c=5.5070 alpha=90.00 beta=90.00 gamma=90.00
Space group P4/mmm (No. 123)
One atom of each set of equivalent atoms:
Rb 0.0000 0.0000 0.0000 (multiplicity 1)
Zr 0.5000 0.5000 0.5000 (multiplicity 1)
As 0.0000 0.5000 0.0000 (multiplicity 2)
Br 0.0000 0.0000 0.5000 (multiplicity 1)

=====

DFT (PBEsol) results for ReAsBr2 after structural relaxation.

Results
excess energy over the best structure of this formula in the dataset = 0.0 meV per atom
uncorrected formation energy = 1.35 eV per formula unit
electronic total energy = -20.82 eV per cell
M_tot = 0.00 μB per cell

Unit cell a=3.0288 b=3.0288 c=8.9651 alpha=90.00 beta=90.00 gamma=90.00
Space group P4mm (No. 99)
One atom of each set of equivalent atoms:
Re 0.0000 0.0000 0.0000 (multiplicity 1)
As 0.5000 0.5000 0.1671 (multiplicity 1)
Br 0.0000 0.0000 0.4735 (multiplicity 1)
Br 0.5000 0.5000 0.8102 (multiplicity 1)